An optimized crystal structure of Li8MnNi7O16, computed with PBE with a Hubbard U.

Cell lengths 6.4995, 6.6326, 7.5958 Å; angles 64.54, 75.54, 72.66 degrees
Site moments in Bohr magnetons follow the coordinates.
Sites, in units of the cell vectors:
Ni 0.7493 0.2509 0.7502  1.74
Ni 0.3777 0.6218 0.6276  1.12
Ni 0.5000 0.5000 0.0000  0.30
Ni 0.8760 0.1241 0.1254  1.10
Ni 0.6223 0.3782 0.3724  1.12
Ni 0.1240 0.8759 0.8746  1.10
Ni 0.2507 0.7491 0.2498  1.74
O 0.5208 0.7109 0.3650  0.01
O 0.4013 0.8158 0.9658  -0.03
O 0.2556 0.9702 0.6033  -0.03
O 0.8626 0.9113 0.7721  -0.03
O 0.9012 0.3228 0.4634  -0.04
O 0.7444 0.0298 0.3967  -0.03
O 0.4792 0.2891 0.6350  0.01
O 0.0988 0.6772 0.5366  -0.04
O 0.2487 0.5311 0.8978  -0.04
O 0.6348 0.5866 0.7327  -0.03
O 0.0215 0.2110 0.8645  0.01
O 0.3652 0.4134 0.2673  -0.03
O 0.1374 0.0887 0.2279  -0.03
O 0.9785 0.7890 0.1355  0.01
O 0.7513 0.4689 0.1022  -0.04
O 0.5987 0.1842 0.0342  -0.03
Li 0.8112 0.6881 0.4307  0.00
Li 0.3081 0.1939 0.9371  0.00
Li 0.9336 0.5596 0.8128  0.01
Li 0.4428 0.0602 0.3118  0.01
Li 0.1888 0.3119 0.5693  0.00
Li 0.6919 0.8061 0.0629  0.00
Li 0.5572 0.9398 0.6882  0.01
Li 0.0664 0.4404 0.1872  0.01
Mn 0.0000 0.0000 0.5000  3.18

Calculated values
The value obtained for the uncorrected energy is -5.109 eV per atom.